Material: LuScCuAg
Method: DFT, GGA-PBE
State: optimized geometry

Calculated values
D(E_F) = 10.44 states/eV/cell
Final energy = -18.86 eV/f.u.

Unit cell a=6.8515 b=6.8515 c=6.8515 alpha=90.00 beta=90.00 gamma=90.00
Space group F-43m (No. 216)
One atom of each set of equivalent atoms:
Lu 0.0000 0.0000 0.0000 [4 per cell]
Sc 0.0000 0.0000 0.5000 [4 per cell]
Cu 0.2500 0.2500 0.2500 [4 per cell]
Ag 0.2500 0.2500 0.7500 [4 per cell]

---

Material: LuCuAgSn
Method: DFT, GGA-PBE
State: optimized geometry

Calculated values
D(E_F) = 6.48 states/eV/cell
Final energy = -16.62 eV/f.u.

Unit cell a=6.7948 b=6.7948 c=6.7948 alpha=90.00 beta=90.00 gamma=90.00
Space group F-43m (No. 216)
One atom of each set of equivalent atoms:
Lu 0.0000 0.0000 0.0000 [4 per cell]
Cu 0.2500 0.2500 0.7500 [4 per cell]
Ag 0.2500 0.2500 0.2500 [4 per cell]
Sn 0.0000 0.0000 0.5000 [4 per cell]

---

Material: SrLuCuAg
Method: DFT, GGA-PBE
State: optimized geometry

Calculated values
D(E_F) = 14.44 states/eV/cell
Final energy = -13.50 eV/f.u.

Unit cell a=7.3130 b=7.3130 c=7.3130 alpha=90.00 beta=90.00 gamma=90.00
Space group F-43m (No. 216)
One atom of each set of equivalent atoms:
Sr 0.0000 0.0000 0.0000 [4 per cell]
Lu 0.0000 0.0000 0.5000 [4 per cell]
Cu 0.2500 0.2500 0.2500 [4 per cell]
Ag 0.2500 0.2500 0.7500 [4 per cell]

---

Material: LuTlCuAg
Method: DFT, GGA-PBE
State: optimized geometry

Calculated values
D(E_F) = 8.04 states/eV/cell
Final energy = -14.40 eV/f.u.

Unit cell a=6.8301 b=6.8301 c=6.8301 alpha=90.00 beta=90.00 gamma=90.00
Space group F-43m (No. 216)
One atom of each set of equivalent atoms:
Lu 0.0000 0.0000 0.0000 [4 per cell]
Tl 0.0000 0.0000 0.5000 [4 per cell]
Cu 0.2500 0.2500 0.2500 [4 per cell]
Ag 0.2500 0.2500 0.7500 [4 per cell]

---

Material: YLuCuAg
Method: DFT, GGA-PBE
State: optimized geometry

Calculated values
D(E_F) = 10.70 states/eV/cell
Final energy = -19.05 eV/f.u.

Unit cell a=7.0640 b=7.0640 c=7.0640 alpha=90.00 beta=90.00 gamma=90.00
Space group F-43m (No. 216)
One atom of each set of equivalent atoms:
Y 0.0000 0.0000 0.0000 [4 per cell]
Lu 0.0000 0.0000 0.5000 [4 per cell]
Cu 0.2500 0.2500 0.2500 [4 per cell]
Ag 0.2500 0.2500 0.7500 [4 per cell]

---

Material: LuZnCuAg
Method: DFT, GGA-PBE
State: optimized geometry

Calculated values
D(E_F) = 13.12 states/eV/cell
Final energy = -13.51 eV/f.u.

Unit cell a=6.5797 b=6.5797 c=6.5797 alpha=90.00 beta=90.00 gamma=90.00
Space group F-43m (No. 216)
One atom of each set of equivalent atoms:
Lu 0.0000 0.0000 0.0000 [4 per cell]
Zn 0.0000 0.0000 0.5000 [4 per cell]
Cu 0.2500 0.2500 0.7500 [4 per cell]
Ag 0.2500 0.2500 0.2500 [4 per cell]

---

Material: LuZrCuAg
Method: DFT, GGA-PBE
State: optimized geometry

Calculated values
D(E_F) = 20.21 states/eV/cell
Final energy = -20.42 eV/f.u.

Unit cell a=6.8590 b=6.8590 c=6.8590 alpha=90.00 beta=90.00 gamma=90.00
Space group F-43m (No. 216)
One atom of each set of equivalent atoms:
Lu 0.0000 0.0000 0.0000 [4 per cell]
Zr 0.0000 0.0000 0.5000 [4 per cell]
Cu 0.2500 0.2500 0.7500 [4 per cell]
Ag 0.2500 0.2500 0.2500 [4 per cell]

---

Material: MgCuAg
Method: DFT, GGA-PBE
State: optimized geometry

Calculated values
D(E_F) = 1.93 states/eV/cell
Relative energy among the computed polymorphs = 0.53 eV per formula unit

Unit cell a=5.9913 b=4.3343 c=4.4221 alpha=90.00 beta=90.00 gamma=90.00
Space group Pmma (No. 51)
One atom of each set of equivalent atoms:
Mg 0.2500 0.0000 0.9998 [2 per cell]
Cu 0.0000 0.0000 0.5000 [2 per cell]
Ag 0.2500 0.5000 0.4989 [2 per cell]

---

Material: MgCu3Ag
Method: DFT, GGA-PBE
State: optimized geometry

Calculated values
D(E_F) = 2.02 states/eV/cell
Relative energy among the computed polymorphs = 0.00 eV per formula unit

Unit cell a=4.7143 b=4.7143 c=4.7143 alpha=90.00 beta=90.00 gamma=90.00
Space group Pm-3m (No. 221)
One atom of each set of equivalent atoms:
Mg 0.0000 0.0000 0.0000 [1 per cell]
Cu 0.0000 0.5000 0.5000 [3 per cell]
Ag 0.5000 0.5000 0.5000 [1 per cell]

---

Material: Mg2CuAg
Method: DFT, GGA-PBE
State: optimized geometry

Calculated values
D(E_F) = 5.36 states/eV/cell
Final energy = -10.21 eV/f.u.

Unit cell a=3.0031 b=3.0031 c=27.0999 alpha=90.00 beta=90.00 gamma=120.00
Space group R3m (No. 160, hexagonal axes)
One atom of each set of equivalent atoms:
Mg 0.0000 0.0000 0.0000 [3 per cell]
Mg 0.0000 0.0000 0.1755 [3 per cell]
Cu 0.0000 0.0000 0.5880 [3 per cell]
Ag 0.0000 0.0000 0.7543 [3 per cell]

---

Material: Mg4CuAg3
Method: DFT, GGA-PBE
State: optimized geometry

Calculated values
D(E_F) = 2.36 states/eV/cell
Final energy = -20.64 eV/f.u.

Unit cell a=3.2817 b=3.2817 c=13.3044 alpha=90.00 beta=90.00 gamma=90.00
Space group P4/mmm (No. 123)
One atom of each set of equivalent atoms:
Mg 0.0000 0.0000 0.1136 [2 per cell]
Mg 0.0000 0.0000 0.3710 [2 per cell]
Cu 0.5000 0.5000 0.0000 [1 per cell]
Ag 0.5000 0.5000 0.2418 [2 per cell]
Ag 0.5000 0.5000 0.5000 [1 per cell]

---

Material: MgCuAg2
Method: DFT, GGA-PBE
State: optimized geometry

Calculated values
D(E_F) = 0.96 states/eV/cell
Final energy = -11.61 eV/f.u.

Unit cell a=3.0886 b=3.6419 c=5.9598 alpha=90.00 beta=90.33 gamma=90.00
Space group Pm (No. 6)
One atom of each set of equivalent atoms:
Mg 0.0000 0.0000 0.0000 [1 per cell]
Cu 0.4996 0.5000 0.2398 [1 per cell]
Ag 0.4988 0.5000 0.7421 [1 per cell]
Ag 0.9994 0.0000 0.4682 [1 per cell]

---

Material: Mg2CuAg
Method: DFT, GGA-PBE
State: optimized geometry

Calculated values
D(E_F) = 1.10 states/eV/cell
Final energy = -10.57 eV/f.u.

Unit cell a=3.0185 b=4.5581 c=5.1633 alpha=90.00 beta=98.15 gamma=90.00
Space group Pm (No. 6)
One atom of each set of equivalent atoms:
Mg 0.0000 0.0000 0.0000 [1 per cell]
Mg 0.1657 0.5000 0.6224 [1 per cell]
Cu 0.6023 0.0000 0.4751 [1 per cell]
Ag 0.5642 0.5000 0.1561 [1 per cell]

---

Material: MgCuAg
Method: DFT, GGA-PBE
State: optimized geometry

Calculated values
D(E_F) = 1.20 states/eV/cell
Relative energy among the computed polymorphs = 0.03 eV per formula unit

Unit cell a=3.2564 b=3.2564 c=9.2190 alpha=90.00 beta=90.00 gamma=90.00
Space group I4mm (No. 107)
One atom of each set of equivalent atoms:
Mg 0.0000 0.0000 0.0000 [2 per cell]
Cu 0.0000 0.0000 0.3406 [2 per cell]
Ag 0.0000 0.0000 0.6816 [2 per cell]

---

Material: MgCuAg
Method: DFT, GGA-PBE
State: optimized geometry

Calculated values
D(E_F) = 2.34 states/eV/cell
Relative energy among the computed polymorphs = 0.00 eV per formula unit

Unit cell a=3.2163 b=3.2163 c=9.4530 alpha=90.00 beta=90.00 gamma=90.00
Space group P4/nmm (No. 129, origin choice 2)
One atom of each set of equivalent atoms:
Mg 0.2500 0.2500 0.2246 [2 per cell]
Cu 0.2500 0.2500 0.9374 [2 per cell]
Ag 0.2500 0.2500 0.5960 [2 per cell]

---

Material: MgCuAg
Method: DFT, GGA-PBE
State: optimized geometry

Calculated values
D(E_F) = 4.42 states/eV/cell
Relative energy among the computed polymorphs = 0.57 eV per formula unit

Unit cell a=6.1221 b=6.1221 c=6.1221 alpha=90.00 beta=90.00 gamma=90.00
Space group F-43m (No. 216)
One atom of each set of equivalent atoms:
Mg 0.0000 0.0000 0.0000 [4 per cell]
Cu 0.2500 0.2500 0.7500 [4 per cell]
Ag 0.0000 0.0000 0.5000 [4 per cell]

---

Material: MgCuAg2
Method: DFT, GGA-PBE
State: optimized geometry

Calculated values
D(E_F) = 1.85 states/eV/cell
Final energy = -11.56 eV/f.u.

Unit cell a=9.3934 b=3.0828 c=4.8107 alpha=90.00 beta=104.40 gamma=90.00
Space group C2/m (No. 12)
One atom of each set of equivalent atoms:
Mg 0.0000 0.0000 0.0000 [2 per cell]
Cu 0.0000 0.5000 0.5000 [2 per cell]
Ag 0.2407 0.0000 0.7412 [4 per cell]

---

Material: Mg2CuAg2
Method: DFT, GGA-PBE
State: optimized geometry

Calculated values
D(E_F) = 3.08 states/eV/cell
Relative energy among the computed polymorphs = 0.00 eV per formula unit

Unit cell a=6.8946 b=6.8946 c=3.9381 alpha=90.00 beta=90.00 gamma=90.00
Space group P4/mbm (No. 127)
One atom of each set of equivalent atoms:
Mg 0.1643 0.3357 0.0000 [4 per cell]
Cu 0.0000 0.0000 0.5000 [2 per cell]
Ag 0.1430 0.6430 0.5000 [4 per cell]

---

Material: MgCuAg2
Method: DFT, GGA-PBE
State: optimized geometry

Calculated values
D(E_F) = 2.13 states/eV/cell
Final energy = -11.26 eV/f.u.

Unit cell a=2.9643 b=2.9643 c=26.9384 alpha=90.00 beta=90.00 gamma=120.00
Space group R3m (No. 160, hexagonal axes)
One atom of each set of equivalent atoms:
Mg 0.0000 0.0000 0.0000 [3 per cell]
Cu 0.0000 0.0000 0.2547 [3 per cell]
Ag 0.0000 0.0000 0.5093 [3 per cell]
Ag 0.0000 0.0000 0.7530 [3 per cell]

---

Material: MgCu2Ag
Method: DFT, GGA-PBE
State: optimized geometry

Calculated values
D(E_F) = 2.51 states/eV/cell
Final energy = -12.83 eV/f.u.

Unit cell a=3.9156 b=3.9269 c=7.8127 alpha=90.00 beta=90.00 gamma=90.00
Space group Imm2 (No. 44)
One atom of each set of equivalent atoms:
Mg 0.0000 0.0000 0.0000 [2 per cell]
Cu 0.0000 0.0000 0.5006 [2 per cell]
Cu 0.0000 0.5000 0.2497 [2 per cell]
Ag 0.0000 0.5000 0.7504 [2 per cell]